No. 1
A relaxed structure of TiAuI2N, computed with PBE-GGA.

Unit cell a=5.6927 b=5.6927 c=3.7458 alpha=90.00 beta=90.00 gamma=90.00
Closest atoms and distances in Å follow each position.
Sites, in units of the cell vectors:
Ti: 0.0000 0.0000 0.0000  2 N 1.87
I: 0.0000 0.5000 0.0000  2 Ti 2.85
I: 0.5000 0.0000 0.0000  2 Ti 2.85
Au: 0.5000 0.5000 0.5000  8 I 3.41, 2 Au 3.75
N: 0.0000 0.0000 0.5000  2 Ti 1.87

For the energy above the most stable polymorph in this dataset, the calculation gives 0 meV/atom. Its crystal system is tetragonal. Its uncorrected energy is -22.1 eV for the cell shown. The uncorrected formation energy comes out at 9 kJ/mol of atoms.

No. 2
A relaxed structure of TiAuIN2, computed with PBE-GGA.

Unit cell a=3.9660 b=3.9660 c=6.4121 alpha=90.00 beta=90.00 gamma=90.00
Closest atoms and distances in Å follow each position.
Sites, in units of the cell vectors:
N: 0.0000 0.5000 0.0000  2 Au 1.98
N: 0.5000 0.0000 0.0000  2 Au 1.98
Ti: 0.5000 0.5000 0.5000  4 I 2.80
Au: 0.0000 0.0000 0.0000  4 N 1.98
I: 0.0000 0.0000 0.5000  4 Ti 2.80

For the energy above the most stable polymorph in this dataset, the calculation gives 1321 meV/atom. Its crystal system is tetragonal. Its uncorrected energy is -20.4 eV for the cell shown. The uncorrected formation energy comes out at 173 kJ/mol of atoms.

No. 3
A relaxed structure of Tl2AuIN, computed with PBE-GGA.

Unit cell a=6.4457 b=4.1633 c=6.4457 alpha=90.00 beta=90.00 gamma=90.00
Closest atoms and distances in Å follow each position.
Sites, in units of the cell vectors:
Tl: 0.0000 0.0000 0.5000  2 I 3.22
Tl: 0.5000 0.0000 0.0000  2 I 3.22
N: 0.0000 0.5000 0.0000  2 I 2.08
I: 0.0000 0.0000 0.0000  2 N 2.08
Au: 0.5000 0.5000 0.5000  8 Tl 3.84, 2 Au 4.16

Its crystal system is tetragonal. Its uncorrected energy is -13.2 eV for the cell shown. The uncorrected formation energy comes out at 91 kJ/mol of atoms.

No. 4
A relaxed structure of TlAuI2N, computed with PBE-GGA.

Unit cell a=6.3631 b=6.3631 c=3.8089 alpha=90.00 beta=90.00 gamma=90.00
Closest atoms and distances in Å follow each position.
Sites, in units of the cell vectors:
N: 0.0000 0.0000 0.5000  2 Au 1.90
I: 0.5000 0.0000 0.0000  2 Au 3.18
I: 0.0000 0.5000 0.0000  2 Au 3.18
Au: 0.0000 0.0000 0.0000  2 N 1.90
Tl: 0.5000 0.5000 0.5000  8 I 3.71, 2 Tl 3.81

For the energy above the most stable polymorph in this dataset, the calculation gives 0 meV/atom. Its crystal system is tetragonal. Its uncorrected energy is -14.6 eV for the cell shown. The uncorrected formation energy comes out at 48 kJ/mol of atoms.

No. 5
A relaxed structure of TlAuI2N, computed with PBE-GGA.

Unit cell a=6.1314 b=6.1314 c=4.2983 alpha=90.00 beta=90.00 gamma=90.00
Closest atoms and distances in Å follow each position.
Sites, in units of the cell vectors:
I: 0.0000 0.5000 0.0000  2 Tl 3.07
I: 0.5000 0.0000 0.0000  2 Tl 3.07
Au: 0.5000 0.5000 0.5000  8 I 3.74
N: 0.0000 0.0000 0.5000  2 Tl 2.15
Tl: 0.0000 0.0000 0.0000  2 N 2.15

For the energy above the most stable polymorph in this dataset, the calculation gives 583 meV/atom. Its crystal system is tetragonal. Its uncorrected energy is -11.7 eV for the cell shown. The uncorrected formation energy comes out at 104 kJ/mol of atoms.

No. 6
A relaxed structure of VAuI2N, computed with PBE-GGA.

Unit cell a=5.5806 b=5.5806 c=3.6688 alpha=90.00 beta=90.00 gamma=90.00
Closest atoms and distances in Å follow each position.
Sites, in units of the cell vectors:
V: 0.0000 0.0000 0.0000  2 N 1.83
I: 0.0000 0.5000 0.0000  2 V 2.79
I: 0.5000 0.0000 0.0000  2 V 2.79
Au: 0.5000 0.5000 0.5000  8 I 3.34, 2 Au 3.67
N: 0.0000 0.0000 0.5000  2 V 1.83

For the energy above the most stable polymorph in this dataset, the calculation gives 0 meV/atom. Its crystal system is tetragonal. Its uncorrected energy is -22.6 eV for the cell shown. The uncorrected formation energy comes out at 24 kJ/mol of atoms.

No. 7
A relaxed structure of VAuI2N, computed with PBE-GGA.

Unit cell a=5.9677 b=5.9677 c=3.7807 alpha=90.00 beta=90.00 gamma=90.00
Closest atoms and distances in Å follow each position.
Sites, in units of the cell vectors:
V: 0.5000 0.5000 0.5000  8 I 3.53, 2 V 3.78
N: 0.0000 0.0000 0.5000  2 Au 1.89
I: 0.0000 0.5000 0.0000  2 Au 2.98
I: 0.5000 0.0000 0.0000  2 Au 2.98
Au: 0.0000 0.0000 0.0000  2 N 1.89

For the energy above the most stable polymorph in this dataset, the calculation gives 1119 meV/atom. Its crystal system is tetragonal. Its uncorrected energy is -17.0 eV for the cell shown. The uncorrected formation energy comes out at 132 kJ/mol of atoms.

No. 8
A relaxed structure of WAuI2N, computed with PBE-GGA.

Unit cell a=5.5549 b=5.5549 c=3.8368 alpha=90.00 beta=90.00 gamma=90.00
Closest atoms and distances in Å follow each position.
Sites, in units of the cell vectors:
W: 0.0000 0.0000 0.0000  2 N 1.92
N: 0.0000 0.0000 0.5000  2 W 1.92
I: 0.0000 0.5000 0.0000  2 W 2.78
I: 0.5000 0.0000 0.0000  2 W 2.78
Au: 0.5000 0.5000 0.5000  8 I 3.38

For the energy above the most stable polymorph in this dataset, the calculation gives 0 meV/atom. Its crystal system is tetragonal. Its uncorrected energy is -24.9 eV for the cell shown. The uncorrected formation energy comes out at 53 kJ/mol of atoms.

No. 9
A relaxed structure of WAuI2N, computed with PBE-GGA.

Unit cell a=5.9616 b=5.9616 c=3.7368 alpha=90.00 beta=90.00 gamma=90.00
Closest atoms and distances in Å follow each position.
Sites, in units of the cell vectors:
Au: 0.0000 0.0000 0.0000  2 N 1.87
I: 0.0000 0.5000 0.0000  2 Au 2.98
I: 0.5000 0.0000 0.0000  2 Au 2.98
W: 0.5000 0.5000 0.5000  8 I 3.52, 2 W 3.74
N: 0.0000 0.0000 0.5000  2 Au 1.87

For the energy above the most stable polymorph in this dataset, the calculation gives 1288 meV/atom. Its crystal system is tetragonal. Its uncorrected energy is -18.5 eV for the cell shown. The uncorrected formation energy comes out at 177 kJ/mol of atoms.

No. 10
A relaxed structure of ZnAuIN2, computed with PBE-GGA.

Unit cell a=4.0289 b=4.0289 c=8.1937 alpha=90.00 beta=90.00 gamma=90.00
Closest atoms and distances in Å follow each position.
Sites, in units of the cell vectors:
N: 0.5000 0.0000 0.0000  2 Au 2.01
N: 0.0000 0.5000 0.0000  2 Au 2.01
Zn: 0.5000 0.5000 0.5000  4 I 2.85
Au: 0.0000 0.0000 0.0000  4 N 2.01
I: 0.0000 0.0000 0.5000  4 Zn 2.85

For the energy above the most stable polymorph in this dataset, the calculation gives 15 meV/atom. Its crystal system is tetragonal. Its uncorrected energy is -15.3 eV for the cell shown. The uncorrected formation energy comes out at 143 kJ/mol of atoms.

No. 11
A relaxed structure of ZnAuIN2, computed with PBE-GGA.

Unit cell a=4.0149 b=4.0149 c=6.7866 alpha=90.00 beta=90.00 gamma=90.00
Closest atoms and distances in Å follow each position.
Sites, in units of the cell vectors:
N: 0.5000 0.0000 0.0000  2 Zn 2.01
N: 0.0000 0.5000 0.0000  2 Zn 2.01
Zn: 0.0000 0.0000 0.0000  4 N 2.01
I: 0.0000 0.0000 0.5000  4 Au 2.84
Au: 0.5000 0.5000 0.5000  4 I 2.84

For the energy above the most stable polymorph in this dataset, the calculation gives 0 meV/atom. Its crystal system is tetragonal. Its uncorrected energy is -15.4 eV for the cell shown. The uncorrected formation energy comes out at 142 kJ/mol of atoms.

No. 12
A relaxed structure of Na12Au5I3, computed with PBE-GGA.

Unit cell a=15.5417 b=15.5417 c=15.5417 alpha=109.47 beta=109.47 gamma=109.47
Closest atoms and distances in Å follow each position.
Sites, in units of the cell vectors:
Na: 0.1119 0.3978 0.0739  2 Au 2.83-2.93
Na: 0.7858 0.4620 0.3881  2 Au 2.83-2.93
Na: 0.2142 0.6761 0.1022  2 Au 2.83-2.93
Na: 0.5739 0.9620 0.6761  2 Au 2.83-2.93
Na: 0.6022 0.7142 0.6761  2 Au 2.83-2.93
Na: 0.7142 0.6022 0.1761  2 Au 2.83-2.93
Na: 0.8978 0.0739 0.6119  2 Au 2.83-2.93
Na: 0.8978 0.8239 0.7858  2 Au 2.83-2.93
Na: 0.4620 0.7858 0.8881  2 Au 2.83-2.93
Na: 0.2858 0.8881 0.9620  2 Au 2.83-2.93
Na: 0.3978 0.2858 0.3239  2 Au 2.83-2.93
Na: 0.9261 0.8239 0.5380  2 Au 2.83-2.93
Na: 0.1022 0.9261 0.3881  2 Au 2.83-2.93
Na: 0.8881 0.2858 0.4620  2 Au 2.83-2.93
Na: 0.0739 0.8978 0.1119  2 Au 2.83-2.93
Na: 0.3239 0.5380 0.4261  2 Au 2.83-2.93
Na: 0.4620 0.6761 0.0739  2 Au 2.83-2.93
Na: 0.1119 0.7142 0.5380  2 Au 2.83-2.93
Na: 0.6761 0.4620 0.5739  2 Au 2.83-2.93
Na: 0.0380 0.6119 0.7142  2 Au 2.83-2.93
Na: 0.8239 0.9261 0.0380  2 Au 2.83-2.93
Na: 0.5739 0.6119 0.3978  2 Au 2.83-2.93
Na: 0.5380 0.3239 0.9261  2 Au 2.83-2.93
Na: 0.3239 0.7858 0.3978  2 Au 2.83-2.93
Na: 0.3978 0.1119 0.5739  2 Au 2.83-2.93
Na: 0.9620 0.3881 0.2858  2 Au 2.83-2.93
Na: 0.2858 0.3978 0.8239  2 Au 2.83-2.93
Na: 0.4261 0.0380 0.3239  2 Au 2.83-2.93
Na: 0.0739 0.1761 0.4620  2 Au 2.83-2.93
Na: 0.1022 0.1761 0.2142  2 Au 2.83-2.93
Na: 0.3881 0.4261 0.1022  2 Au 2.83-2.93
Na: 0.4261 0.3881 0.6022  2 Au 2.83-2.93
Na: 0.6022 0.8881 0.4261  2 Au 2.83-2.93
Na: 0.9261 0.1022 0.8881  2 Au 2.83-2.93
Na: 0.3881 0.9620 0.7858  2 Au 2.83-2.93
Na: 0.7142 0.1119 0.0380  2 Au 2.83-2.93
Na: 0.9620 0.5739 0.1761  2 Au 2.83-2.93
Na: 0.0380 0.4261 0.8239  2 Au 2.83-2.93
Na: 0.6119 0.0380 0.2142  2 Au 2.83-2.93
Na: 0.8881 0.6022 0.9261  2 Au 2.83-2.93
Na: 0.6119 0.5739 0.8978  2 Au 2.83-2.93
Na: 0.8239 0.8978 0.2858  2 Au 2.83-2.93
Na: 0.7858 0.3239 0.8978  2 Au 2.83-2.93
Na: 0.2142 0.5380 0.6119  2 Au 2.83-2.93
Na: 0.1761 0.0739 0.9620  2 Au 2.83-2.93
Na: 0.6761 0.2142 0.6022  2 Au 2.83-2.93
Na: 0.5380 0.2142 0.1119  2 Au 2.83-2.93
Na: 0.1761 0.1022 0.7142  2 Au 2.83-2.93
Au: 0.0000 0.5000 0.0000  6 Na 2.93
Au: 0.7500 0.6250 0.3750  4 Na 2.83
Au: 0.0000 0.0000 0.0000  6 Na 2.93
Au: 0.3750 0.1250 0.7500  4 Na 2.83
Au: 0.2500 0.8750 0.1250  4 Na 2.83
Au: 0.5000 0.0000 0.5000  6 Na 2.93
Au: 0.8750 0.2500 0.6250  4 Na 2.83
Au: 0.5000 0.0000 0.0000  6 Na 2.93
Au: 0.1250 0.3750 0.2500  4 Na 2.83
Au: 0.3750 0.2500 0.1250  4 Na 2.83
Au: 0.0000 0.5000 0.5000  6 Na 2.93
Au: 0.1250 0.7500 0.3750  4 Na 2.83
Au: 0.0000 0.0000 0.5000  6 Na 2.93
Au: 0.5000 0.5000 0.0000  6 Na 2.93
Au: 0.8750 0.6250 0.7500  4 Na 2.83
Au: 0.6250 0.7500 0.8750  4 Na 2.83
Au: 0.2500 0.3750 0.6250  4 Na 2.83
Au: 0.5000 0.5000 0.5000  6 Na 2.93
Au: 0.6250 0.8750 0.2500  4 Na 2.83
Au: 0.7500 0.1250 0.8750  4 Na 2.83
I: 0.6250 0.2500 0.3750  8 Na 3.30-3.63
I: 0.7500 0.8750 0.6250  8 Na 3.30-3.63
I: 0.1250 0.2500 0.8750  8 Na 3.30-3.63
I: 0.2500 0.6250 0.8750  8 Na 3.30-3.63
I: 0.8750 0.7500 0.1250  8 Na 3.30-3.63
I: 0.3750 0.7500 0.6250  8 Na 3.30-3.63
I: 0.8750 0.1250 0.2500  8 Na 3.30-3.63
I: 0.2500 0.1250 0.3750  8 Na 3.30-3.63
I: 0.6250 0.3750 0.7500  8 Na 3.30-3.63
I: 0.7500 0.3750 0.1250  8 Na 3.30-3.63
I: 0.1250 0.8750 0.7500  8 Na 3.30-3.63
I: 0.3750 0.6250 0.2500  8 Na 3.30-3.63

Its crystal system is cubic. Its uncorrected energy is -175.3 eV for the cell shown. The uncorrected formation energy comes out at -34 kJ/mol of atoms.

Q: The highest uncorrected energy belongs to which entry?
A: number 5

Q: Among the records above, which one has the lowest uncorrected formation energy?
A: Na12Au5I3

Q: uncorrected formation energy of number 1 (TiAuI2N)?
A: 9 kJ/mol of atoms